[1]
Below is Pa4Ga after structural relaxation, with properties calculated at the GGA-PBE level.

Cell lengths 3.1076, 3.1076, 24.2055 Å; angles 90.00, 90.00, 90.00 degrees
Fractional coordinates of all 10 atoms:
1 Pa 0.0000 0.0000 0.0930
2 Pa 0.0000 0.0000 0.3017
3 Pa 0.0000 0.0000 0.6983
4 Pa 0.0000 0.0000 0.9070
5 Pa 0.5000 0.5000 0.1983
6 Pa 0.5000 0.5000 0.4070
7 Pa 0.5000 0.5000 0.5930
8 Pa 0.5000 0.5000 0.8017
9 Ga 0.0000 0.0000 0.5000
10 Ga 0.5000 0.5000 0.0000

Values from the calculation:
E_form: -0.061 eV/atom
energy above the lowest structure with this stoichiometry: 0.000 eV/atom

***

[2]
Below is CaAs3F after structural relaxation, with properties calculated at the GGA-PBE level.

Cell lengths 5.3716, 5.3716, 5.3716 Å; angles 90.00, 90.00, 90.00 degrees
Fractional coordinates of all 5 atoms:
1 Ca 0.0000 0.0000 0.0000
2 As 0.0000 0.0000 0.5000
3 As 0.0000 0.5000 0.0000
4 As 0.5000 0.0000 0.0000
5 F 0.5000 0.5000 0.5000

Values from the calculation:
uncorrected formation energy: 678 meV/atom
energy above the lowest structure with this stoichiometry: 1.059 eV/atom

***

[3]
Below is CrAgOs2 after structural relaxation, with properties calculated at the GGA-PBE level.

Cell lengths 2.7375, 4.0721, 5.3564 Å; angles 90.00, 99.87, 90.00 degrees
Fractional coordinates of all 4 atoms:
1 Cr 0.0000 0.0000 0.0000
2 Ag 0.0000 0.0000 0.5000
3 Os 0.3790 0.5000 0.2277
4 Os 0.6210 0.5000 0.7723

Values from the calculation:
E_form: 0.600 eV/atom
energy above the lowest structure with this stoichiometry: 0.326 eV/atom

***

[4]
Below is KFe2Hg after structural relaxation, with properties calculated at the GGA-PBE level.

Cell lengths 2.9336, 2.9336, 31.7088 Å; angles 90.00, 90.00, 120.00 degrees
Fractional coordinates of all 12 atoms:
1 K 0.0000 0.0000 0.0000
2 K 0.3333 0.6667 0.6667
3 K 0.6667 0.3333 0.3333
4 Fe 0.0000 0.0000 0.2404
5 Fe 0.0000 0.0000 0.7596
6 Fe 0.3333 0.6667 0.4263
7 Fe 0.3333 0.6667 0.9071
8 Fe 0.6667 0.3333 0.0929
9 Fe 0.6667 0.3333 0.5737
10 Hg 0.0000 0.0000 0.5000
11 Hg 0.3333 0.6667 0.1667
12 Hg 0.6667 0.3333 0.8333

Values from the calculation:
E_form: 0.965 eV/atom

***

[5]
Below is Pr2ZrSb4Pd3 after structural relaxation, with properties calculated at the GGA-PBE level.

Cell lengths 4.5281, 4.5281, 11.7348 Å; angles 90.00, 90.00, 90.00 degrees
Fractional coordinates of all 10 atoms:
1 Pr 0.0000 0.5000 0.2383
2 Pr 0.5000 0.0000 0.7617
3 Zr 0.0000 0.0000 0.5000
4 Sb 0.0000 0.0000 0.0000
5 Sb 0.0000 0.5000 0.6459
6 Sb 0.5000 0.0000 0.3541
7 Sb 0.5000 0.5000 0.0000
8 Pd 0.0000 0.5000 0.8690
9 Pd 0.5000 0.0000 0.1310
10 Pd 0.5000 0.5000 0.5000

Values from the calculation:
uncorrected formation energy: -766 meV/atom

***

[6]
Below is PmPrGaIr after structural relaxation, with properties calculated at the GGA-PBE level.

Cell lengths 7.2523, 7.2523, 7.2523 Å; angles 90.00, 90.00, 90.00 degrees
Fractional coordinates of all 16 atoms:
1 Pm 0.0000 0.0000 0.0000
2 Pm 0.0000 0.5000 0.5000
3 Pm 0.5000 0.0000 0.5000
4 Pm 0.5000 0.5000 0.0000
5 Pr 0.0000 0.0000 0.5000
6 Pr 0.0000 0.5000 0.0000
7 Pr 0.5000 0.0000 0.0000
8 Pr 0.5000 0.5000 0.5000
9 Ga 0.2500 0.2500 0.2500
10 Ga 0.2500 0.7500 0.7500
11 Ga 0.7500 0.2500 0.7500
12 Ga 0.7500 0.7500 0.2500
13 Ir 0.2500 0.2500 0.7500
14 Ir 0.2500 0.7500 0.2500
15 Ir 0.7500 0.2500 0.2500
16 Ir 0.7500 0.7500 0.7500

Values from the calculation:
E_form: -0.504 eV/atom
energy above the lowest structure with this stoichiometry: 0.131 eV/atom